1.
# BaPr2Cd9 (PBE, optimized geometry)
# Calculated total energy = -1.9136 eV/atom
# DFT formation energy = -3.25 eV/f.u.
data_BaPr2Cd9
_symmetry_space_group_name_H-M 'R -3 m'
_symmetry_Int_Tables_number 166
_symmetry_space_group_name_Hall '-R 3 2"'
_cell_length_a 6.1751
_cell_length_b 6.1751
_cell_length_c 29.0124
_cell_angle_alpha 90.00
_cell_angle_beta 90.00
_cell_angle_gamma 120.00
loop_
_atom_site_label
_atom_site_type_symbol
_atom_site_fract_x
_atom_site_fract_y
_atom_site_fract_z
Ba1 Ba 0.0000 0.0000 0.0000
Pr1 Pr 0.0000 0.0000 0.1443
Cd1 Cd 0.0000 0.0000 0.3357
Cd2 Cd 0.0000 0.0000 0.5000
Cd3 Cd 0.0088 0.5044 0.9142


2.
# UCdSbAu (PBE, optimized geometry)
# Calculated total energy = -4.9951 eV/atom
data_UCdSbAu
_symmetry_space_group_name_H-M 'F -4 3 m'
_symmetry_Int_Tables_number 216
_symmetry_space_group_name_Hall 'F -4 2 3'
_cell_length_a 7.219
_cell_length_b 7.219
_cell_length_c 7.219
_cell_angle_alpha 90.00
_cell_angle_beta 90.00
_cell_angle_gamma 90.00
loop_
_atom_site_label
_atom_site_type_symbol
_atom_site_fract_x
_atom_site_fract_y
_atom_site_fract_z
U1 U 0.000 0.000 0.000
Cd1 Cd 0.000 0.000 0.500
Sb1 Sb 0.250 0.250 0.750
Au1 Au 0.250 0.250 0.250


3.
# CsSO4 (PBE, optimized geometry)
# Calculated total energy = -5.5713 eV/atom
data_CsSO4
_symmetry_space_group_name_H-M 'C 1 2/c 1'
_symmetry_Int_Tables_number 15
_cell_length_a 8.079
_cell_length_b 8.077
_cell_length_c 8.326
_cell_angle_alpha 90.00
_cell_angle_beta 118.86
_cell_angle_gamma 90.00
loop_
_symmetry_equiv_pos_as_xyz
'x,y,z'
'-x,-y,-z'
'-x,y,-z+1/2'
'x,-y,z+1/2'
'x+1/2,y+1/2,z'
'-x+1/2,-y+1/2,-z'
'-x+1/2,y+1/2,-z+1/2'
'x+1/2,-y+1/2,z+1/2'
loop_
_atom_site_label
_atom_site_type_symbol
_atom_site_fract_x
_atom_site_fract_y
_atom_site_fract_z
Cs1 Cs 0.000 0.125 0.250
S1 S 0.000 0.377 0.750
O1 O 0.049 0.270 0.633
O2 O 0.165 0.483 0.867


4.
# CsZn2MoCl8 (PBE, optimized geometry)
# Calculated total energy = -3.5955 eV/atom
data_CsZn2MoCl8
_symmetry_space_group_name_H-M 'R -3'
_symmetry_Int_Tables_number 148
_symmetry_space_group_name_Hall '-R 3'
_cell_length_a 6.3129
_cell_length_b 6.3129
_cell_length_c 31.5618
_cell_angle_alpha 90.00
_cell_angle_beta 90.00
_cell_angle_gamma 120.00
loop_
_atom_site_label
_atom_site_type_symbol
_atom_site_fract_x
_atom_site_fract_y
_atom_site_fract_z
Cs1 Cs 0.0000 0.0000 0.0000
Zn1 Zn 0.0000 0.0000 0.2352
Mo1 Mo 0.0000 0.0000 0.5000
Cl1 Cl 0.0000 0.0000 0.3058
Cl2 Cl 0.0115 0.3566 0.2125


5.
# TiCrSbRu (PBE, optimized geometry)
# Calculated total energy = -7.9709 eV/atom
data_TiCrSbRu
_symmetry_space_group_name_H-M 'F -4 3 m'
_symmetry_Int_Tables_number 216
_symmetry_space_group_name_Hall 'F -4 2 3'
_cell_length_a 6.243
_cell_length_b 6.243
_cell_length_c 6.243
_cell_angle_alpha 90.00
_cell_angle_beta 90.00
_cell_angle_gamma 90.00
loop_
_atom_site_label
_atom_site_type_symbol
_atom_site_fract_x
_atom_site_fract_y
_atom_site_fract_z
Ti1 Ti 0.000 0.000 0.000
Cr1 Cr 0.250 0.250 0.250
Sb1 Sb 0.000 0.000 0.500
Ru1 Ru 0.250 0.250 0.750


6.
# LiTiGa2 (PBE, optimized geometry)
# Calculated total energy = -3.9869 eV/atom
# DFT formation energy = -0.09 eV/f.u.
# Energy above the lowest structure with this stoichiometry = 375 meV per atom
data_LiTiGa2
_symmetry_space_group_name_H-M 'I -4 2 d'
_symmetry_Int_Tables_number 122
_symmetry_space_group_name_Hall 'I -4 2bw'
_cell_length_a 6.864
_cell_length_b 6.864
_cell_length_c 5.628
_cell_angle_alpha 90.00
_cell_angle_beta 90.00
_cell_angle_gamma 90.00
loop_
_atom_site_label
_atom_site_type_symbol
_atom_site_fract_x
_atom_site_fract_y
_atom_site_fract_z
Li1 Li 0.000 0.000 0.000
Ti1 Ti 0.000 0.000 0.500
Ga1 Ga 0.228 0.250 0.125


7.
# Zr5Br (PBE, optimized geometry)
# Calculated total energy = -6.7384 eV/atom
# Energy above the lowest structure with this stoichiometry = 535 meV per atom
data_Zr5Br
_symmetry_space_group_name_H-M 'P 6/m m m'
_symmetry_Int_Tables_number 191
_symmetry_space_group_name_Hall '-P 6 2'
_cell_length_a 6.0786
_cell_length_b 6.0786
_cell_length_c 4.9205
_cell_angle_alpha 90.00
_cell_angle_beta 90.00
_cell_angle_gamma 120.00
loop_
_atom_site_label
_atom_site_type_symbol
_atom_site_fract_x
_atom_site_fract_y
_atom_site_fract_z
Zr1 Zr 0.0000 0.5000 0.0000
Zr2 Zr 0.3333 0.6667 0.5000
Br1 Br 0.0000 0.0000 0.5000


8.
# La2TiSnCl (PBE, optimized geometry)
# Calculated total energy = -4.9073 eV/atom
data_La2TiSnCl
_symmetry_space_group_name_H-M 'P 4/m m m'
_symmetry_Int_Tables_number 123
_symmetry_space_group_name_Hall '-P 4 2'
_cell_length_a 5.735
_cell_length_b 5.735
_cell_length_c 4.531
_cell_angle_alpha 90.00
_cell_angle_beta 90.00
_cell_angle_gamma 90.00
loop_
_atom_site_label
_atom_site_type_symbol
_atom_site_fract_x
_atom_site_fract_y
_atom_site_fract_z
La1 La 0.000 0.500 0.000
Ti1 Ti 0.000 0.000 0.000
Sn1 Sn 0.500 0.500 0.500
Cl1 Cl 0.000 0.000 0.500